Record 1
# PBE BaAl2Pt2, relaxed
# energy relative to the elements = -0.93 eV per atom
# density of states at the Fermi level = 4.57 states/eV per cell
# crystal system = tetragonal
data_BaAl2Pt2
_space_group_name_H-M_alt 'I 4/m m m'
_space_group_IT_number 139
_space_group_name_Hall '-I 4 2'
_cell_length_a 4.283
_cell_length_b 4.283
_cell_length_c 11.967
_cell_angle_alpha 90.00
_cell_angle_beta 90.00
_cell_angle_gamma 90.00
loop_
_atom_site_label
_atom_site_type_symbol
_atom_site_fract_x
_atom_site_fract_y
_atom_site_fract_z
Ba1 Ba 0.000 0.000 0.000
Al1 Al 0.000 0.500 0.250
Pt1 Pt 0.000 0.000 0.364

Record 2
# PBE Ba3Al4Pt4, relaxed
# energy relative to the elements = -0.87 eV per atom
# density of states at the Fermi level = 24.74 states/eV per cell
# crystal system = orthorhombic
data_Ba3Al4Pt4
_space_group_name_H-M_alt 'C m c m'
_space_group_IT_number 63
_space_group_name_Hall '-C 2c 2'
_cell_length_a 10.855
_cell_length_b 8.253
_cell_length_c 11.968
_cell_angle_alpha 90.00
_cell_angle_beta 90.00
_cell_angle_gamma 90.00
loop_
_atom_site_label
_atom_site_type_symbol
_atom_site_fract_x
_atom_site_fract_y
_atom_site_fract_z
Ba1 Ba 0.000 0.027 0.250
Ba2 Ba 0.219 0.000 0.000
Al1 Al 0.000 0.399 0.123
Al2 Al 0.136 0.347 0.750
Pt1 Pt 0.000 0.298 0.574
Pt2 Pt 0.186 0.351 0.250

Record 3
# PBE Ba2AlPt, relaxed
# energy relative to the elements = -0.26 eV per atom
# density of states at the Fermi level = 5.05 states/eV per cell
# crystal system = monoclinic
data_Ba2AlPt
_space_group_name_H-M_alt 'C 1 2/m 1'
_space_group_IT_number 12
_cell_length_a 7.883
_cell_length_b 7.916
_cell_length_c 4.065
_cell_angle_alpha 90.00
_cell_angle_beta 90.09
_cell_angle_gamma 90.00
loop_
_space_group_symop_operation_xyz
'x,y,z'
'-x,-y,-z'
'-x,y,-z'
'x,-y,z'
'x+1/2,y+1/2,z'
'-x+1/2,-y+1/2,-z'
'-x+1/2,y+1/2,-z'
'x+1/2,-y+1/2,z'
loop_
_atom_site_label
_atom_site_type_symbol
_atom_site_fract_x
_atom_site_fract_y
_atom_site_fract_z
Ba1 Ba 0.250 0.250 0.000
Al1 Al 0.000 0.000 0.500
Pt1 Pt 0.000 0.500 0.500

Record 4
# PBE BaAl4Pt2, relaxed
# energy relative to the elements = -0.47 eV per atom
# density of states at the Fermi level = 3.77 states/eV per cell
# crystal system = monoclinic
data_BaAl4Pt2
_space_group_name_H-M_alt 'C 1 2/m 1'
_space_group_IT_number 12
_cell_length_a 8.974
_cell_length_b 6.718
_cell_length_c 5.406
_cell_angle_alpha 90.00
_cell_angle_beta 122.97
_cell_angle_gamma 90.00
loop_
_space_group_symop_operation_xyz
'x,y,z'
'-x,-y,-z'
'-x,y,-z'
'x,-y,z'
'x+1/2,y+1/2,z'
'-x+1/2,-y+1/2,-z'
'-x+1/2,y+1/2,-z'
'x+1/2,-y+1/2,z'
loop_
_atom_site_label
_atom_site_type_symbol
_atom_site_fract_x
_atom_site_fract_y
_atom_site_fract_z
Ba1 Ba 0.000 0.000 0.000
Al1 Al 0.182 0.210 0.687
Pt1 Pt 0.075 0.500 0.319

Record 5
# PBE BaAl3Pt3, relaxed
# energy relative to the elements = -0.77 eV per atom
# density of states at the Fermi level = 7.05 states/eV per cell
# crystal system = cubic
# E above lowest polymorph = 0.0340 eV/atom
data_BaAl3Pt3
_space_group_name_H-M_alt 'P m -3 n'
_space_group_IT_number 223
_space_group_name_Hall '-P 4n 2 3'
_cell_length_a 6.919
_cell_length_b 6.919
_cell_length_c 6.919
_cell_angle_alpha 90.00
_cell_angle_beta 90.00
_cell_angle_gamma 90.00
loop_
_atom_site_label
_atom_site_type_symbol
_atom_site_fract_x
_atom_site_fract_y
_atom_site_fract_z
Ba1 Ba 0.000 0.000 0.000
Al1 Al 0.000 0.250 0.500
Pt1 Pt 0.000 0.500 0.250

Record 6
# PBE Ba2AlPt, relaxed
# energy relative to the elements = -0.48 eV per atom
# density of states at the Fermi level = 4.38 states/eV per cell
# crystal system = orthorhombic
data_Ba2AlPt
_space_group_name_H-M_alt 'I m m 2'
_space_group_IT_number 44
_cell_length_a 4.054
_cell_length_b 5.689
_cell_length_c 10.945
_cell_angle_alpha 90.00
_cell_angle_beta 90.00
_cell_angle_gamma 90.00
loop_
_space_group_symop_operation_xyz
'x,y,z'
'-x,-y,z'
'-x,y,z'
'x,-y,z'
'x+1/2,y+1/2,z+1/2'
'-x+1/2,-y+1/2,z+1/2'
'-x+1/2,y+1/2,z+1/2'
'x+1/2,-y+1/2,z+1/2'
loop_
_atom_site_label
_atom_site_type_symbol
_atom_site_fract_x
_atom_site_fract_y
_atom_site_fract_z
Ba1 Ba 0.000 0.000 0.000
Ba2 Ba 0.000 0.500 0.187
Al1 Al 0.000 0.000 0.390
Pt1 Pt 0.000 0.500 0.768

Record 7
# PBE Ba2Al12Pt7, relaxed
# energy relative to the elements = -0.89 eV per atom
# density of states at the Fermi level = 8.39 states/eV per cell
# crystal system = hexagonal
data_Ba2Al12Pt7
_space_group_name_H-M_alt 'P -6'
_space_group_IT_number 174
_cell_length_a 10.1876
_cell_length_b 10.1876
_cell_length_c 4.2374
_cell_angle_alpha 90.00
_cell_angle_beta 90.00
_cell_angle_gamma 120.00
loop_
_space_group_symop_operation_xyz
'x,y,z'
'-x+y,-x,-z'
'-y,x-y,z'
'x,y,-z'
'-x+y,-x,z'
'-y,x-y,-z'
loop_
_atom_site_label
_atom_site_type_symbol
_atom_site_fract_x
_atom_site_fract_y
_atom_site_fract_z
Ba1 Ba 0.0000 0.0000 0.0000
Ba2 Ba 0.3333 0.6667 0.5000
Al1 Al 0.0195 0.7392 0.5000
Al2 Al 0.1382 0.3872 0.0000
Al3 Al 0.3813 0.1744 0.0000
Al4 Al 0.5446 0.1256 0.5000
Pt1 Pt 0.0228 0.5815 0.0000
Pt2 Pt 0.2580 0.0117 0.5000
Pt3 Pt 0.6667 0.3333 0.0000

Record 8
# PBE BaAl6Pt3, relaxed
# energy relative to the elements = -0.62 eV per atom
# density of states at the Fermi level = 7.26 states/eV per cell
# crystal system = monoclinic
data_BaAl6Pt3
_space_group_name_H-M_alt 'P 1 21/c 1'
_space_group_IT_number 14
_cell_length_a 7.113
_cell_length_b 6.840
_cell_length_c 8.717
_cell_angle_alpha 90.00
_cell_angle_beta 117.59
_cell_angle_gamma 90.00
loop_
_space_group_symop_operation_xyz
'x,y,z'
'-x,-y,-z'
'-x,y+1/2,-z+1/2'
'x,-y+1/2,z+1/2'
loop_
_atom_site_label
_atom_site_type_symbol
_atom_site_fract_x
_atom_site_fract_y
_atom_site_fract_z
Ba1 Ba 0.000 0.000 0.000
Al1 Al 0.146 0.001 0.678
Al2 Al 0.320 0.175 0.386
Al3 Al 0.450 0.709 0.766
Pt1 Pt 0.236 0.650 0.943
Pt2 Pt 0.500 0.000 0.000